# 1
## Ca2TbHg4 (GGA-PBE)

Data for an optimized crystal structure of Ca2TbHg4.

Its size of the total moment is 0.00 Bohr magnetons per cell. For the total energy, the calculation gives -12.6 eV per cell.

The structure in POSCAR format:
```
Ca2TbHg4
1.0
6.0491 -0.1090 -2.1953
-3.0466 5.2879 -2.0442
-0.0628 0.1090 6.4348
Ca Tb Hg
2 1 4
direct
0.5000 0.5000 0.0000
0.5000 0.0000 0.5000
0.0000 0.0000 0.0000
0.5000 0.0000 0.0000
0.5000 0.5000 0.5000
0.0000 0.0000 0.5000
0.0000 0.5000 0.0000
```



# 2
## In3AsC (GGA-PBE)

Data for an optimized crystal structure of In3AsC.

Its size of the total moment is 2.00 Bohr magnetons per cell. For the total energy, the calculation gives -14.2 eV per cell.

The structure in POSCAR format:
```
In3AsC
1.0
-1.7837 -2.6072 4.4437
5.0825 -1.6610 1.0656
0.8442 4.4910 2.9739
As C In
1 1 3
direct
0.0000 0.0000 0.0000
0.5000 0.5000 0.5000
0.0000 0.5000 0.0000
0.0000 0.0000 0.5000
0.5000 0.0000 0.0000
```



# 3
## NaNd2ScS4 (GGA-PBE)

Data for an optimized crystal structure of NaNd2ScS4.

Its size of the total moment is 0.00 Bohr magnetons per cell. For the raw formation energy, the calculation gives -1.84 eV/atom. For the total energy, the calculation gives -48.4 eV per cell.

The structure in POSCAR format:
```
NaNd2ScS4
1.0
-3.6473 0.1055 1.5251
1.2847 -5.8372 3.4761
1.7587 5.3291 3.8375
Na Nd Sc S
1 2 1 4
direct
0.5000 0.5000 0.0000
0.5000 0.0000 0.5000
0.0000 0.5000 0.5000
0.0000 0.0000 0.0000
0.5000 0.2348 0.2279
0.5000 0.7652 0.7721
0.0000 0.2433 0.7632
0.0000 0.7567 0.2368
```



# 4
## Tb6Y2Ho3Tm (GGA-PBE)

Data for an optimized crystal structure of Tb6Y2Ho3Tm.

Its size of the total moment is 0.00 Bohr magnetons per cell. For the total energy, the calculation gives -58.7 eV per cell.

The structure in POSCAR format:
```
Tb6Y2Ho3Tm
1.0
6.1434 0.0019 0.0102
-3.0685 5.3222 0.0102
-1.0383 -1.7979 11.5591
Tb Y Ho Tm
6 2 3 1
direct
0.9161 0.5838 0.7493
0.7516 0.7516 0.2506
0.0839 0.4162 0.2507
0.5838 0.9161 0.7493
0.2484 0.2484 0.7494
0.4162 0.0839 0.2507
0.3333 0.6667 0.0000
0.6667 0.3333 0.0000
0.1665 0.8335 0.5000
0.8335 0.1665 0.5000
0.5000 0.5000 0.5000
0.0000 0.0000 0.0000
```



# 5
## SrBiWS2 (GGA-PBE)

Data for an optimized crystal structure of SrBiWS2.

Its size of the total moment is 0.00 Bohr magnetons per cell. For the raw formation energy, the calculation gives -0.36 eV/atom. For the total energy, the calculation gives -28.6 eV per cell.

The structure in POSCAR format:
```
SrBiWS2
1.0
4.7252 0.0000 0.0000
0.0000 5.7897 0.0000
0.0000 0.0000 4.7252
Sr S Bi W
1 2 1 1
direct
0.5000 0.5000 0.5000
0.0000 0.0000 0.5000
0.5000 0.0000 0.0000
0.0000 0.5000 0.0000
0.0000 0.0000 0.0000
```



# 6
## Nd6TmHg5 (GGA-PBE)

Data for an optimized crystal structure of Nd6TmHg5.

Its size of the total moment is 0.01 Bohr magnetons per cell. For the total energy, the calculation gives -38.8 eV per cell.

The structure in POSCAR format:
```
Nd6TmHg5
1.0
5.1528 0.0215 -1.5036
-1.0776 6.9021 -3.5943
-0.0343 0.4553 9.4703
Tm Nd Hg
1 6 5
direct
0.0000 0.0000 0.0000
0.8282 0.5733 0.6565
0.8283 0.0832 0.6565
0.5000 0.7290 0.0000
0.5000 0.2710 0.0000
0.1717 0.9168 0.3435
0.1718 0.4267 0.3435
0.6482 0.1482 0.2964
0.3306 0.3306 0.6612
0.0000 0.5000 0.0000
0.6694 0.6694 0.3388
0.3518 0.8518 0.7036
```



# 7
## Rb2CuReO4 (GGA-PBE)

Data for an optimized crystal structure of Rb2CuReO4.

Its size of the total moment is 0.00 Bohr magnetons per cell. For the raw formation energy, the calculation gives -1.28 eV/atom. For the total energy, the calculation gives -48.6 eV per cell.

The structure in POSCAR format:
```
Rb2CuReO4
1.0
-1.4020 2.2555 -5.1037
-2.8776 -4.7934 1.3576
-1.3722 3.2896 4.5162
Rb Cu Re O
2 1 1 4
direct
0.5000 0.7500 0.2500
0.0000 0.0000 0.0000
0.5000 0.2500 0.7500
0.0000 0.5000 0.5000
0.6314 0.3126 0.4703
0.1578 0.3189 0.6874
0.8422 0.5297 0.1611
0.3686 0.8389 0.6811
```



# 8
## SrTlBr2 (GGA-PBE)

Data for an optimized crystal structure of SrTlBr2.

Its size of the total moment is 0.00 Bohr magnetons per cell. For the raw formation energy, the calculation gives -1.15 eV/atom. For the total energy, the calculation gives -12.0 eV per cell.

The structure in POSCAR format:
```
SrTlBr2
1.0
-0.3776 -5.5881 0.6890
-3.3688 -2.1290 3.9953
-4.7339 -2.7082 -1.4495
Sr Tl Br
1 1 2
direct
0.0000 0.0000 0.0000
0.5000 0.5000 0.5000
0.2500 0.2500 0.2500
0.7500 0.7500 0.7500
```